1.
The following is a PBE calculation of Zn2RuSe after structural relaxation, from the Alexandria database.

a = 4.898 Å, b = 4.898 Å, c = 4.898 Å
α = 133.13°, β = 133.13°, γ = 68.46°
Positions (direct):
Zn1 0.000 0.000 0.000
Zn2 0.750 0.250 0.500
Ru1 0.250 0.750 0.500
Se1 0.500 0.500 0.000

Properties
space-group type = I-4m2 (119)

***

2.
The following is a PBE calculation of CoSbH2Rh after structural relaxation, from the Alexandria database.

a = 3.644 Å, b = 3.644 Å, c = 5.403 Å
α = 90.00°, β = 90.00°, γ = 90.00°
Positions (direct):
Co1 0.000 0.000 0.000
Sb1 0.500 0.500 0.500
H1 0.000 0.500 0.500
H2 0.500 0.000 0.500
Rh1 0.500 0.500 0.000

Properties
space-group type = P4/mmm (123)

***

3.
The following is a PBE calculation of B2Ir2Au after structural relaxation, from the Alexandria database.

a = 6.758 Å, b = 6.758 Å, c = 2.704 Å
α = 90.00°, β = 90.00°, γ = 90.00°
Positions (direct):
B1 0.140 0.360 0.000
B2 0.360 0.860 0.000
B3 0.640 0.140 0.000
B4 0.860 0.640 0.000
Ir1 0.143 0.643 0.500
Ir2 0.357 0.143 0.500
Ir3 0.643 0.857 0.500
Ir4 0.857 0.357 0.500
Au1 0.000 0.000 0.500
Au2 0.500 0.500 0.500

Properties
space-group type = P4/mbm (127)
calculated formation energy = 0.397 eV per atom

***

4.
The following is a PBE calculation of Ta2IrRu after structural relaxation, from the Alexandria database.

a = 4.182 Å, b = 3.692 Å, c = 8.359 Å
α = 90.00°, β = 90.00°, γ = 90.00°
Positions (direct):
Ta1 0.250 0.000 0.123
Ta2 0.250 0.000 0.627
Ta3 0.750 0.000 0.373
Ta4 0.750 0.000 0.877
Ir1 0.250 0.500 0.378
Ir2 0.750 0.500 0.622
Ru1 0.250 0.500 0.872
Ru2 0.750 0.500 0.128

Properties
space-group type = Pmma (51)
calculated formation energy = -0.422 eV per atom

***

| no. | size of the total moment (μB/f.u.) | final energy (eV per atom) |
| --- | --- | --- |
| 1 | 0.00 | -3.677 |
| 2 | 2.82 | -4.348 |
| 3 | 0.00 | -6.474 |
| 4 | 0.00 | -10.882 |